# 1
Entry from Alexandria via LeMat-Bulk: a geometry-optimized HoUH2 structure (PBE).

Cell and atoms, written as CIF:
```
data_HoUH2
_cell_length_a 3.4017
_cell_length_b 3.4017
_cell_length_c 18.3122
_cell_angle_alpha 90.00
_cell_angle_beta 90.00
_cell_angle_gamma 120.00
_space_group_name_H-M_alt 'R -3 m'
_space_group_IT_number 166
_space_group_name_Hall '-R 3 2"'
loop_
_atom_site_label
_atom_site_type_symbol
_atom_site_fract_x
_atom_site_fract_y
_atom_site_fract_z
Ho1 Ho 0.0000 0.0000 0.0000
U1 U 0.0000 0.0000 0.5000
H1 H 0.0000 0.0000 0.3794
```

# 2
Entry from Alexandria via LeMat-Bulk: a geometry-optimized HoVH2 structure (PBE).

Cell and atoms, written as CIF:
```
data_HoVH2
_cell_length_a 3.1421
_cell_length_b 3.1421
_cell_length_c 15.2489
_cell_angle_alpha 90.00
_cell_angle_beta 90.00
_cell_angle_gamma 120.00
_space_group_name_H-M_alt 'R -3 m'
_space_group_IT_number 166
_space_group_name_Hall '-R 3 2"'
loop_
_atom_site_label
_atom_site_type_symbol
_atom_site_fract_x
_atom_site_fract_y
_atom_site_fract_z
Ho1 Ho 0.0000 0.0000 0.0000
V1 V 0.0000 0.0000 0.5000
H1 H 0.0000 0.0000 0.2218
```

# 3
Entry from Alexandria via LeMat-Bulk: a geometry-optimized Ho2VH structure (PBE).

Cell and atoms, written as CIF:
```
data_Ho2VH
_cell_length_a 3.3008
_cell_length_b 3.3008
_cell_length_c 25.4991
_cell_angle_alpha 90.00
_cell_angle_beta 90.00
_cell_angle_gamma 120.00
_space_group_name_H-M_alt 'R -3 m'
_space_group_IT_number 166
_space_group_name_Hall '-R 3 2"'
loop_
_atom_site_label
_atom_site_type_symbol
_atom_site_fract_x
_atom_site_fract_y
_atom_site_fract_z
Ho1 Ho 0.0000 0.0000 0.1115
V1 V 0.0000 0.0000 0.0000
H1 H 0.0000 0.0000 0.5000
```

# 4
Entry from Alexandria via LeMat-Bulk: a geometry-optimized Ho3V5H12 structure (PBE).

Cell and atoms, written as CIF:
```
data_Ho3V5H12
_cell_length_a 11.4415
_cell_length_b 11.4415
_cell_length_c 11.4415
_cell_angle_alpha 90.00
_cell_angle_beta 90.00
_cell_angle_gamma 90.00
_space_group_name_H-M_alt 'I a -3 d'
_space_group_IT_number 230
_space_group_name_Hall '-I 4bd 2c 3'
loop_
_atom_site_label
_atom_site_type_symbol
_atom_site_fract_x
_atom_site_fract_y
_atom_site_fract_z
Ho1 Ho 0.0000 0.2500 0.1250
V1 V 0.0000 0.0000 0.0000
V2 V 0.0000 0.2500 0.3750
H1 H 0.0225 0.0596 0.6450
```

# 5
# YHoH (PBE, relaxed)
# Excess energy over the best structure of this formula in the dataset   183 meV/atom
data_YHoH
_cell_length_a 3.3422
_cell_length_b 3.3422
_cell_length_c 12.1296
_cell_angle_alpha 90.00
_cell_angle_beta 90.00
_cell_angle_gamma 90.00
_space_group_name_H-M_alt 'I 4 m m'
_space_group_IT_number 107
_space_group_name_Hall 'I 4 -2'
loop_
_atom_site_label
_atom_site_type_symbol
_atom_site_fract_x
_atom_site_fract_y
_atom_site_fract_z
Y1 Y 0.0000 0.0000 0.0000
Ho1 Ho 0.0000 0.0000 0.2907
H1 H 0.0000 0.0000 0.4735

# 6
Entry from Alexandria via LeMat-Bulk: a geometry-optimized Y3Ho5H12 structure (PBE).

Cell and atoms, written as CIF:
```
data_Y3Ho5H12
_cell_length_a 13.0225
_cell_length_b 13.0225
_cell_length_c 13.0225
_cell_angle_alpha 90.00
_cell_angle_beta 90.00
_cell_angle_gamma 90.00
_space_group_name_H-M_alt 'I a -3 d'
_space_group_IT_number 230
_space_group_name_Hall '-I 4bd 2c 3'
loop_
_atom_site_label
_atom_site_type_symbol
_atom_site_fract_x
_atom_site_fract_y
_atom_site_fract_z
Y1 Y 0.0000 0.2500 0.1250
Ho1 Ho 0.0000 0.0000 0.0000
Ho2 Ho 0.0000 0.2500 0.3750
H1 H 0.0022 0.0659 0.6559
```

# 7
# YHo2H (PBE, relaxed)
# Excess energy over the best structure of this formula in the dataset   0 meV/atom
data_YHo2H
_cell_length_a 3.5932
_cell_length_b 3.5932
_cell_length_c 25.3024
_cell_angle_alpha 90.00
_cell_angle_beta 90.00
_cell_angle_gamma 120.00
_space_group_name_H-M_alt 'R -3 m'
_space_group_IT_number 166
_space_group_name_Hall '-R 3 2"'
loop_
_atom_site_label
_atom_site_type_symbol
_atom_site_fract_x
_atom_site_fract_y
_atom_site_fract_z
Y1 Y 0.0000 0.0000 0.0000
Ho1 Ho 0.0000 0.0000 0.2203
H1 H 0.0000 0.0000 0.5000

# 8
# YHoH (PBE, relaxed)
# Excess energy over the best structure of this formula in the dataset   0 meV/atom
data_YHoH
_cell_length_a 3.7346
_cell_length_b 3.7346
_cell_length_c 5.4426
_cell_angle_alpha 90.00
_cell_angle_beta 90.00
_cell_angle_gamma 120.00
_space_group_name_H-M_alt 'P -6 m 2'
_space_group_IT_number 187
_space_group_name_Hall 'P -6 2'
loop_
_atom_site_label
_atom_site_type_symbol
_atom_site_fract_x
_atom_site_fract_y
_atom_site_fract_z
Y1 Y 0.0000 0.0000 0.0000
Ho1 Ho 0.3333 0.6667 0.5000
H1 H 0.0000 0.0000 0.5000

# 9
# YHoH (PBE, relaxed)
# Excess energy over the best structure of this formula in the dataset   49 meV/atom
data_YHoH
_cell_length_a 3.6190
_cell_length_b 3.6190
_cell_length_c 5.5671
_cell_angle_alpha 90.00
_cell_angle_beta 90.00
_cell_angle_gamma 120.00
_space_group_name_H-M_alt 'P 3 m 1'
_space_group_IT_number 156
loop_
_space_group_symop_operation_xyz
'x,y,z'
'-y,x-y,z'
'-x+y,-x,z'
'-y,-x,z'
'-x+y,y,z'
'x,x-y,z'
loop_
_atom_site_label
_atom_site_type_symbol
_atom_site_fract_x
_atom_site_fract_y
_atom_site_fract_z
Y1 Y 0.0000 0.0000 0.0000
Ho1 Ho 0.6667 0.3333 0.5112
H1 H 0.3333 0.6667 0.7546

# 10
Entry from Alexandria via LeMat-Bulk: a geometry-optimized Y4Ho2H structure (PBE).

Cell and atoms, written as CIF:
```
data_Y4Ho2H
_cell_length_a 4.8264
_cell_length_b 4.8264
_cell_length_c 17.1746
_cell_angle_alpha 90.00
_cell_angle_beta 90.00
_cell_angle_gamma 90.00
_space_group_name_H-M_alt 'I 4/m m m'
_space_group_IT_number 139
_space_group_name_Hall '-I 4 2'
loop_
_atom_site_label
_atom_site_type_symbol
_atom_site_fract_x
_atom_site_fract_y
_atom_site_fract_z
Y1 Y 0.0000 0.0000 0.1513
Y2 Y 0.0000 0.5000 0.0000
Ho1 Ho 0.0000 0.0000 0.3531
H1 H 0.0000 0.0000 0.0000
```

# 11
Entry from Alexandria via LeMat-Bulk: a geometry-optimized Y2Ho4H structure (PBE).

Cell and atoms, written as CIF:
```
data_Y2Ho4H
_cell_length_a 4.8213
_cell_length_b 4.8213
_cell_length_c 17.0604
_cell_angle_alpha 90.00
_cell_angle_beta 90.00
_cell_angle_gamma 90.00
_space_group_name_H-M_alt 'I 4/m m m'
_space_group_IT_number 139
_space_group_name_Hall '-I 4 2'
loop_
_atom_site_label
_atom_site_type_symbol
_atom_site_fract_x
_atom_site_fract_y
_atom_site_fract_z
Y1 Y 0.0000 0.0000 0.1500
Ho1 Ho 0.0000 0.0000 0.3532
Ho2 Ho 0.0000 0.5000 0.0000
H1 H 0.0000 0.0000 0.5000
```

# 12
Entry from Alexandria via LeMat-Bulk: a geometry-optimized YHo3H8 structure (PBE).

Cell and atoms, written as CIF:
```
data_YHo3H8
_cell_length_a 5.1525
_cell_length_b 5.1525
_cell_length_c 5.1525
_cell_angle_alpha 90.00
_cell_angle_beta 90.00
_cell_angle_gamma 90.00
_space_group_name_H-M_alt 'P m -3 m'
_space_group_IT_number 221
_space_group_name_Hall '-P 4 2 3'
loop_
_atom_site_label
_atom_site_type_symbol
_atom_site_fract_x
_atom_site_fract_y
_atom_site_fract_z
Y1 Y 0.0000 0.0000 0.0000
Ho1 Ho 0.0000 0.5000 0.5000
H1 H 0.2515 0.2515 0.2515
```

Sequential M_tot output: 2.58 0.13 2.92 1.84 0.00 0.00 0.00 0.02 0.00 0.00 0.00 0.00 μB/f.u.
Sequential DFT total energy output: -69.97 -61.52 -59.66 -835.40 -29.48 -735.81 -59.19 -15.29 -15.14 -75.69 -68.26 -55.69 eV/cell